Here is a relaxed structure of Sr2CaMnTc from the Alexandria database. Energies are from PBEsol.

Structure (CIF):
```
data_Sr2CaMnTc
_space_group_name_H-M_alt 'P 4/m m m'
_space_group_IT_number 123
_space_group_name_Hall '-P 4 2'
_cell_length_a 5.604
_cell_length_b 5.604
_cell_length_c 5.360
_cell_angle_alpha 90.00
_cell_angle_beta 90.00
_cell_angle_gamma 90.00
loop_
_atom_site_label
_atom_site_type_symbol
_atom_site_fract_x
_atom_site_fract_y
_atom_site_fract_z
_atom_site_occupancy
Sr1 Sr 0.000 0.500 0.000 1
Ca1 Ca 0.000 0.000 0.500 1
Mn1 Mn 0.000 0.000 0.000 1
Tc1 Tc 0.500 0.500 0.500 1
```

Summary:
DFT formation energy: 1.395 eV per atom